Entry 1:
# Cu5Ag3

A relaxed structure of Cu5Ag3 (PBE, OQMD via LeMat-Bulk).

Cell and atoms, written as POSCAR:
```
Cu5Ag3
1.0
1.372 0.792 17.461
-1.372 0.792 17.461
0.000 -1.584 17.461
Cu Ag
5 3
Cartesian
0.000 0.000 0.000
0.000 0.000 13.453
0.000 0.000 19.475
0.000 0.000 32.908
0.000 0.000 38.929
0.000 0.000 6.243
0.000 0.000 26.191
0.000 0.000 46.139
```

Calculated density (g cm⁻³): 9.35
Space-group type: No. 166
E_form (eV/atom): 0.094
DFT total energy (eV per atom): -3.29

=====

Entry 2:
# Cu3Ag7

A relaxed structure of Cu3Ag7 (PBE, OQMD via LeMat-Bulk).

Cell and atoms, written as POSCAR:
```
Cu3Ag7
1.0
4.874 0.000 0.000
0.000 2.876 0.000
-1.175 0.000 11.549
Cu Ag
3 7
Cartesian
0.000 0.000 0.000
-0.436 1.438 9.429
4.135 1.438 2.120
0.251 0.000 7.127
0.967 1.438 4.655
1.600 0.000 2.260
2.437 1.438 0.000
2.098 0.000 9.289
2.731 1.438 6.894
3.448 0.000 4.422
```

Calculated density (g cm⁻³): 9.70
Space-group type: No. 10
E_form (eV/atom): 0.081
DFT total energy (eV per atom): -3.01

=====

Entry 3:
# Cu3Ag7

A relaxed structure of Cu3Ag7 (PBE, OQMD via LeMat-Bulk).

Cell and atoms, written as POSCAR:
```
Cu3Ag7
1.0
6.025 -1.444 0.000
6.025 1.444 0.000
-1.714 0.000 9.347
Cu Ag
3 7
Cartesian
0.000 0.000 0.000
0.730 0.000 2.781
8.863 0.000 3.592
1.376 0.000 5.433
2.133 0.000 8.426
4.551 0.000 1.816
5.093 0.000 4.508
5.830 0.000 7.493
8.136 0.000 0.976
9.631 0.000 6.458
```

Calculated density (g cm⁻³): 9.65
Space-group type: No. 8
E_form (eV/atom): 0.072
DFT total energy (eV per atom): -3.02